TaCr3F | PBE+U | relaxed

Properties
symmetry	No. 221
energy	-5.80	eV/atom

Lattice parameters (Å, degrees): 4.9798 4.9798 4.9798 90.00 90.00 90.00
Sites, in units of the cell vectors:
F1 0.5000 0.5000 0.5000
Cr1 0.5000 0.0000 0.0000
Ta1 0.0000 0.0000 0.0000
Cr2 0.0000 0.0000 0.5000
Cr3 0.0000 0.5000 0.0000